1.
Below is an optimized crystal structure of LaSb3Ir, with properties calculated at the PBE-GGA level.

```
LaSb3Ir
1.0
-0.103 -5.350 3.600
5.132 1.834 2.870
-3.691 3.150 4.576
Sb La Ir
6 2 2
direct
0.471 0.839 0.954
0.871 0.088 0.700
0.471 0.840 0.448
0.971 0.513 0.454
0.971 0.513 0.948
0.371 0.265 0.201
0.408 0.302 0.702
0.908 0.051 0.200
0.657 0.566 0.201
0.157 0.787 0.701
```

Values from the calculation:
As for the relative energy among the computed polymorphs: 0.0000 eV/atom. The value obtained for the uncorrected formation energy is -0.54 eV per atom. As for the space group: P2_1, No. 4. The raw total energy comes out at -5.77 eV/atom. Its crystal system is monoclinic.


2.
Below is an optimized crystal structure of La4SbIr2, with properties calculated at the PBE-GGA level.

```
La4SbIr2
1.0
-2.788 -3.330 0.130
3.268 -0.158 -6.586
10.103 -8.256 5.211
Ir La Sb
4 8 2
direct
0.869 0.739 0.938
0.131 0.261 0.062
0.869 0.739 0.562
0.131 0.261 0.438
0.231 0.463 0.611
0.061 0.122 0.250
0.500 0.000 0.000
0.500 0.000 0.500
0.231 0.463 0.889
0.769 0.537 0.111
0.939 0.878 0.750
0.769 0.537 0.389
0.608 0.216 0.750
0.392 0.784 0.250
```

Values from the calculation:
The value obtained for the uncorrected formation energy is -0.84 eV per atom. As for the space group: Cmcm, No. 63. The raw total energy comes out at -6.78 eV/atom. Its crystal system is orthorhombic.


3.
Below is an optimized crystal structure of La2SbIr2, with properties calculated at the PBE-GGA level.

```
La2SbIr2
1.0
-5.268 0.932 2.041
-1.628 -5.172 -1.840
-2.373 -3.702 3.597
Ir La Sb
2 2 1
direct
0.339 0.339 0.321
0.661 0.661 0.679
0.250 0.750 0.500
0.750 0.250 0.500
0.000 0.000 0.000
```

Values from the calculation:
As for the relative energy among the computed polymorphs: 0.0881 eV/atom. The value obtained for the uncorrected formation energy is -0.63 eV per atom. As for the space group: I4/mmm, No. 139. The raw total energy comes out at -6.97 eV/atom. Its crystal system is tetragonal.


4.
Below is an optimized crystal structure of La3SbIr, with properties calculated at the PBE-GGA level.

```
La3SbIr
1.0
-3.433 3.404 -2.762
-3.149 -4.355 -1.454
-3.050 0.666 4.610
La Ir Sb
3 1 1
direct
0.500 0.000 0.000
0.000 0.000 0.500
0.000 0.500 0.000
0.000 0.000 0.000
0.500 0.500 0.500
```

Values from the calculation:
As for the relative energy among the computed polymorphs: 0.2217 eV/atom. The value obtained for the uncorrected formation energy is -0.67 eV per atom. As for the space group: Pm-3m, No. 221. The raw total energy comes out at -6.22 eV/atom. Its crystal system is cubic.


5.
Below is an optimized crystal structure of LaSb2Ir, with properties calculated at the PBE-GGA level.

```
LaSb2Ir
1.0
-4.112 3.022 3.559
-6.080 -1.304 -0.200
5.467 -2.926 0.505
Sb La Ir
2 1 1
direct
0.500 0.500 0.000
0.000 0.000 0.000
0.750 0.250 0.500
0.250 0.750 0.500
```

Values from the calculation:
The value obtained for the uncorrected formation energy is -0.16 eV per atom. As for the space group: I4/mmm, No. 139. The raw total energy comes out at -5.67 eV/atom. Its crystal system is tetragonal.


6.
Below is an optimized crystal structure of La4SbIr, with properties calculated at the PBE-GGA level.

```
La4SbIr
1.0
-3.023 -5.796 2.911
7.883 -1.444 0.571
-2.309 6.966 5.048
La Ir Sb
8 2 2
direct
0.557 0.278 0.090
0.443 0.722 0.910
0.315 0.920 0.582
0.033 0.812 0.090
0.967 0.188 0.910
0.767 0.661 0.582
0.685 0.080 0.418
0.233 0.339 0.418
0.176 0.926 0.853
0.824 0.074 0.147
0.366 0.616 0.233
0.634 0.384 0.767
```

Values from the calculation:
As for the relative energy among the computed polymorphs: 0.0480 eV/atom. The value obtained for the uncorrected formation energy is -0.66 eV per atom. As for the space group: C2/c, No. 15. The raw total energy comes out at -6.11 eV/atom. Its crystal system is monoclinic.


7.
Below is an optimized crystal structure of LaSb2Ir, with properties calculated at the PBE-GGA level.

```
LaSb2Ir
1.0
6.605 -0.010 -0.006
5.181 4.098 -0.006
5.181 1.797 3.683
Sb Ir La
2 1 1
direct
0.523 0.523 0.523
0.977 0.977 0.977
0.250 0.250 0.250
0.750 0.750 0.750
```

Values from the calculation:
The value obtained for the uncorrected formation energy is -0.69 eV per atom. As for the space group: R-3m, No. 166. The raw total energy comes out at -6.20 eV/atom. Its crystal system is trigonal.


8.
Below is an optimized crystal structure of LaSb2Ir, with properties calculated at the PBE-GGA level.

```
LaSb2Ir
1.0
-5.554 -2.295 0.250
4.451 -3.798 0.635
-0.366 -0.724 3.181
La Sb Ir
1 2 1
direct
0.500 0.500 0.000
0.000 0.000 0.000
0.500 0.000 0.500
0.000 0.500 0.500
```

Values from the calculation:
The value obtained for the uncorrected formation energy is -0.04 eV per atom. As for the space group: C2/m, No. 12. The raw total energy comes out at -5.55 eV/atom. Its crystal system is monoclinic.


9.
Below is an optimized crystal structure of LaSb3Ir, with properties calculated at the PBE-GGA level.

```
LaSb3Ir
1.0
-0.848 -3.745 -3.583
4.918 0.565 -1.754
1.636 -3.639 3.416
Sb La Ir
3 1 1
direct
0.500 0.000 0.000
0.000 0.000 0.500
0.000 0.500 0.000
0.500 0.500 0.500
0.000 0.000 0.000
```

Values from the calculation:
As for the relative energy among the computed polymorphs: 0.4678 eV/atom. The value obtained for the uncorrected formation energy is -0.07 eV per atom. As for the space group: Pm-3m, No. 221. The raw total energy comes out at -5.30 eV/atom. Its crystal system is cubic.


10.
Below is an optimized crystal structure of LaSb2Ir, with properties calculated at the PBE-GGA level.

```
LaSb2Ir
1.0
1.212 3.384 3.637
-3.359 1.092 3.698
0.860 -1.586 4.785
Ir La Sb
1 1 2
direct
0.500 0.500 0.500
0.000 0.000 0.000
0.750 0.750 0.750
0.250 0.250 0.250
```

Values from the calculation:
The value obtained for the uncorrected formation energy is -0.17 eV per atom. As for the space group: Fm-3m, No. 225. The raw total energy comes out at -5.68 eV/atom. Its crystal system is cubic.


11.
Below is an optimized crystal structure of La2ScSb3Ir4, with properties calculated at the PBE-GGA level.

```
La2ScSb3Ir4
1.0
4.354 0.000 0.000
0.000 4.354 0.000
0.000 0.000 11.506
Sc Ir Sb La
1 4 3 2
direct
0.500 0.500 0.500
0.500 0.500 0.000
0.500 0.000 0.640
0.000 0.000 0.000
0.000 0.500 0.360
0.000 0.000 0.500
0.000 0.500 0.133
0.500 0.000 0.867
0.000 0.500 0.757
0.500 0.000 0.243
```

Values from the calculation:
The value obtained for the uncorrected formation energy is -0.77 eV per atom. As for the space group: P-4m2, No. 115. The raw total energy comes out at -7.17 eV/atom. Its crystal system is tetragonal.


12.
Below is an optimized crystal structure of La2ScSbIr, with properties calculated at the PBE-GGA level.

```
La2ScSbIr
1.0
5.728 0.000 0.000
0.000 4.637 0.000
0.000 0.000 5.728
La Sb Sc Ir
2 1 1 1
direct
0.000 0.000 0.500
0.500 0.000 0.000
0.500 0.500 0.500
0.000 0.000 0.000
0.000 0.500 0.000
```

Values from the calculation:
The value obtained for the uncorrected formation energy is 0.22 eV per atom. As for the space group: P4/mmm, No. 123. The raw total energy comes out at -5.62 eV/atom. Its crystal system is tetragonal.